[1]
Compound: Ho4Se2N
Source: the Alexandria database
Functional: PBE
Structure: relaxed

Properties
- uncorrected formation energy (eV per formula unit) = -6.74

POSCAR file:
```
Ho4Se2N
1.0
4.372 0.000 0.000
0.000 4.372 0.000
2.186 2.186 9.517
Ho Se N
4 2 1
direct
0.677 0.677 0.646 Ho
0.323 0.323 0.354 Ho
0.000 0.500 0.000 Ho
0.500 0.000 0.000 Ho
0.825 0.825 0.351 Se
0.175 0.175 0.649 Se
0.000 0.000 0.000 N
```



[2]
Compound: Ho2SeN
Source: the Alexandria database
Functional: PBE
Structure: relaxed

Properties
- uncorrected formation energy (eV per formula unit) = -5.78

POSCAR file:
```
Ho2SeN
1.0
-1.271 3.500 1.076
-3.278 -2.370 3.840
6.463 0.549 5.855
Ho Se N
4 2 2
direct
0.701 0.660 0.187 Ho
0.701 0.517 0.769 Ho
0.201 0.017 0.447 Ho
0.201 0.160 0.029 Ho
0.201 0.884 0.762 Se
0.701 0.384 0.454 Se
0.201 0.872 0.212 N
0.701 0.372 0.004 N
```